# RbTeHC2 | the Alexandria database | PBE-GGA | relaxed
data_RbTeHC2
_chemical_formula_sum 'Rb1 Te1 H1 C2'
_symmetry_space_group_name_H-M 'P 4/m m m'
_symmetry_Int_Tables_number 123
_symmetry_space_group_name_Hall '-P 4 2'
_cell_length_a 4.205
_cell_length_b 4.205
_cell_length_c 8.488
_cell_angle_alpha 90.00
_cell_angle_beta 90.00
_cell_angle_gamma 90.00
loop_
_atom_site_label
_atom_site_fract_x
_atom_site_fract_y
_atom_site_fract_z
Rb1 0.000 0.000 0.000
Te1 0.000 0.000 0.500
H1 0.500 0.500 0.000
C1 0.000 0.500 0.500
# Density (Mg/m³): 2.63
# E (eV/atom): -3.1526

***

# LiGaSn | the Alexandria database | PBE-GGA | relaxed
data_LiGaSn
_chemical_formula_sum 'Li1 Ga1 Sn1'
_symmetry_space_group_name_H-M 'P 3 m 1'
_symmetry_Int_Tables_number 156
_cell_length_a 4.6057
_cell_length_b 4.6057
_cell_length_c 3.4426
_cell_angle_alpha 90.00
_cell_angle_beta 90.00
_cell_angle_gamma 120.00
loop_
_symmetry_equiv_pos_as_xyz
'x,y,z'
'-y,x-y,z'
'-x+y,-x,z'
'-y,-x,z'
'-x+y,y,z'
'x,x-y,z'
loop_
_atom_site_label
_atom_site_fract_x
_atom_site_fract_y
_atom_site_fract_z
Li1 0.0000 0.0000 0.0000
Ga1 0.6667 0.3333 0.7015
Sn1 0.3333 0.6667 0.4323
# Density (Mg/m³): 5.13
# Energy of formation (meV/atom): -161

***

# HoMgS | the Alexandria database | PBE-GGA | relaxed
data_HoMgS
_chemical_formula_sum 'Ho6 Mg6 S6'
_symmetry_space_group_name_H-M 'R -3 m'
_symmetry_Int_Tables_number 166
_symmetry_space_group_name_Hall '-R 3 2"'
_cell_length_a 4.7754
_cell_length_b 4.7754
_cell_length_c 22.2580
_cell_angle_alpha 90.00
_cell_angle_beta 90.00
_cell_angle_gamma 120.00
loop_
_atom_site_label
_atom_site_fract_x
_atom_site_fract_y
_atom_site_fract_z
Ho1 0.0000 0.0000 0.0913
Mg1 0.0000 0.0000 0.3297
S1 0.0000 0.0000 0.2157
# Density (Mg/m³): 5.02
# Raw formation energy (eV per atom): -1.008

***

# TcAg2W | the Alexandria database | PBE-GGA | relaxed
data_TcAg2W
_chemical_formula_sum 'Tc2 Ag4 W2'
_symmetry_space_group_name_H-M 'C m m 2'
_symmetry_Int_Tables_number 35
_cell_length_a 3.084
_cell_length_b 4.564
_cell_length_c 9.497
_cell_angle_alpha 90.00
_cell_angle_beta 90.00
_cell_angle_gamma 90.00
loop_
_symmetry_equiv_pos_as_xyz
'x,y,z'
'-x,-y,z'
'-x,y,z'
'x,-y,z'
'x+1/2,y+1/2,z'
'-x+1/2,-y+1/2,z'
'-x+1/2,y+1/2,z'
'x+1/2,-y+1/2,z'
loop_
_atom_site_label
_atom_site_fract_x
_atom_site_fract_y
_atom_site_fract_z
Tc1 0.000 0.000 0.000
Ag1 0.000 0.000 0.481
Ag2 0.000 0.500 0.741
W1 0.000 0.500 0.220
# Density (Mg/m³): 12.36
# Energy of formation (meV/atom): 322

***

# Ca2BeCo | the Alexandria database | PBE-GGA | relaxed
data_Ca2BeCo
_chemical_formula_sum 'Ca4 Be2 Co2'
_symmetry_space_group_name_H-M 'C 1 2/m 1'
_symmetry_Int_Tables_number 12
_cell_length_a 6.860
_cell_length_b 3.192
_cell_length_c 8.414
_cell_angle_alpha 90.00
_cell_angle_beta 98.51
_cell_angle_gamma 90.00
loop_
_symmetry_equiv_pos_as_xyz
'x,y,z'
'-x,-y,-z'
'-x,y,-z'
'x,-y,z'
'x+1/2,y+1/2,z'
'-x+1/2,-y+1/2,-z'
'-x+1/2,y+1/2,-z'
'x+1/2,-y+1/2,z'
loop_
_atom_site_label
_atom_site_fract_x
_atom_site_fract_y
_atom_site_fract_z
Ca1 0.246 0.000 0.234
Be1 0.000 0.000 0.500
Co1 0.000 0.500 0.000
# Density (Mg/m³): 2.70
# Energy of formation (meV/atom): 717

***

# AcTbCeLu | the Alexandria database | PBE-GGA | relaxed
data_AcTbCeLu
_chemical_formula_sum 'Ac4 Tb4 Ce4 Lu4'
_symmetry_space_group_name_H-M 'F -4 3 m'
_symmetry_Int_Tables_number 216
_symmetry_space_group_name_Hall 'F -4 2 3'
_cell_length_a 8.203
_cell_length_b 8.203
_cell_length_c 8.203
_cell_angle_alpha 90.00
_cell_angle_beta 90.00
_cell_angle_gamma 90.00
loop_
_atom_site_label
_atom_site_fract_x
_atom_site_fract_y
_atom_site_fract_z
Ac1 0.000 0.000 0.000
Tb1 0.250 0.250 0.250
Ce1 0.000 0.000 0.500
Lu1 0.250 0.250 0.750
# Density (Mg/m³): 8.44
# Energy of formation (meV/atom): 178

***

# CePa2Ni | the Alexandria database | PBE-GGA | relaxed
data_CePa2Ni
_chemical_formula_sum 'Ce3 Pa6 Ni3'
_symmetry_space_group_name_H-M 'R -3 m'
_symmetry_Int_Tables_number 166
_symmetry_space_group_name_Hall '-R 3 2"'
_cell_length_a 3.1715
_cell_length_b 3.1715
_cell_length_c 30.4830
_cell_angle_alpha 90.00
_cell_angle_beta 90.00
_cell_angle_gamma 120.00
loop_
_atom_site_label
_atom_site_fract_x
_atom_site_fract_y
_atom_site_fract_z
Ce1 0.0000 0.0000 0.0000
Pa1 0.0000 0.0000 0.0983
Ni1 0.0000 0.0000 0.5000
# Density (Mg/m³): 12.40
# Energy of formation (meV/atom): 109

***

# TaWCl2 | the Alexandria database | PBE-GGA | relaxed
data_TaWCl2
_chemical_formula_sum 'Ta2 W2 Cl4'
_symmetry_space_group_name_H-M 'C 1 m 1'
_symmetry_Int_Tables_number 8
_cell_length_a 10.779
_cell_length_b 2.920
_cell_length_c 6.690
_cell_angle_alpha 90.00
_cell_angle_beta 115.13
_cell_angle_gamma 90.00
loop_
_symmetry_equiv_pos_as_xyz
'x,y,z'
'x,-y,z'
'x+1/2,y+1/2,z'
'x+1/2,-y+1/2,z'
loop_
_atom_site_label
_atom_site_fract_x
_atom_site_fract_y
_atom_site_fract_z
Ta1 0.000 0.000 0.000
W1 0.204 0.500 0.990
Cl1 0.296 0.000 0.740
Cl2 0.427 0.000 0.253
# Density (Mg/m³): 7.59
# Raw formation energy (eV per atom): 0.429

***

# LaZn2Pd5Au | the Alexandria database | PBE-GGA | relaxed
data_LaZn2Pd5Au
_chemical_formula_sum 'La1 Zn2 Pd5 Au1'
_symmetry_space_group_name_H-M 'P 4/m m m'
_symmetry_Int_Tables_number 123
_symmetry_space_group_name_Hall '-P 4 2'
_cell_length_a 4.699
_cell_length_b 4.699
_cell_length_c 7.450
_cell_angle_alpha 90.00
_cell_angle_beta 90.00
_cell_angle_gamma 90.00
loop_
_atom_site_label
_atom_site_fract_x
_atom_site_fract_y
_atom_site_fract_z
La1 0.000 0.000 0.000
Zn1 0.500 0.500 0.342
Pd1 0.000 0.500 0.256
Pd2 0.500 0.500 0.000
Au1 0.000 0.000 0.500
# Density (Mg/m³): 10.08
# Energy of formation (meV/atom): -365

***

# Mg2MnFe | the Alexandria database | PBE-GGA | relaxed
data_Mg2MnFe
_chemical_formula_sum 'Mg2 Mn1 Fe1'
_symmetry_space_group_name_H-M 'P 4 m m'
_symmetry_Int_Tables_number 99
_cell_length_a 2.824
_cell_length_b 2.824
_cell_length_c 7.635
_cell_angle_alpha 90.00
_cell_angle_beta 90.00
_cell_angle_gamma 90.00
loop_
_symmetry_equiv_pos_as_xyz
'x,y,z'
'-y,x,z'
'-x,-y,z'
'y,-x,z'
'-x,y,z'
'y,x,z'
'x,-y,z'
'-y,-x,z'
loop_
_atom_site_label
_atom_site_fract_x
_atom_site_fract_y
_atom_site_fract_z
Mg1 0.000 0.000 0.000
Mg2 0.500 0.500 0.345
Mn1 0.000 0.000 0.599
Fe1 0.500 0.500 0.754
# Density (Mg/m³): 4.35
# Energy of formation (meV/atom): 181

***

# MgTe2W | the Alexandria database | PBE-GGA | relaxed
data_MgTe2W
_chemical_formula_sum 'Mg4 Te8 W4'
_symmetry_space_group_name_H-M 'I -4 2 d'
_symmetry_Int_Tables_number 122
_symmetry_space_group_name_Hall 'I -4 2bw'
_cell_length_a 6.585
_cell_length_b 6.585
_cell_length_c 11.596
_cell_angle_alpha 90.00
_cell_angle_beta 90.00
_cell_angle_gamma 90.00
loop_
_atom_site_label
_atom_site_fract_x
_atom_site_fract_y
_atom_site_fract_z
Mg1 0.000 0.000 0.000
Te1 0.231 0.250 0.625
W1 0.000 0.000 0.500
# Density (Mg/m³): 6.12
# Raw formation energy (eV per atom): 0.458

***

# CsK2GaF6 | the Alexandria database | PBE-GGA | relaxed
data_CsK2GaF6
_chemical_formula_sum 'Cs2 K4 Ga2 F12'
_symmetry_space_group_name_H-M 'P 1 21/c 1'
_symmetry_Int_Tables_number 14
_cell_length_a 6.251
_cell_length_b 6.780
_cell_length_c 10.820
_cell_angle_alpha 90.00
_cell_angle_beta 124.12
_cell_angle_gamma 90.00
loop_
_symmetry_equiv_pos_as_xyz
'x,y,z'
'-x,-y,-z'
'-x,y+1/2,-z+1/2'
'x,-y+1/2,z+1/2'
loop_
_atom_site_label
_atom_site_fract_x
_atom_site_fract_y
_atom_site_fract_z
Cs1 0.000 0.000 0.000
K1 0.220 0.030 0.728
Ga1 0.500 0.000 0.500
F1 0.218 0.146 0.480
F2 0.260 0.718 0.892
F3 0.426 0.111 0.314
# Density (Mg/m³): 3.45
# Raw formation energy (eV per atom): -2.796

***

# ErInRuRh | the Alexandria database | PBE-GGA | relaxed
data_ErInRuRh
_chemical_formula_sum 'Er4 In4 Ru4 Rh4'
_symmetry_space_group_name_H-M 'F -4 3 m'
_symmetry_Int_Tables_number 216
_symmetry_space_group_name_Hall 'F -4 2 3'
_cell_length_a 6.602
_cell_length_b 6.602
_cell_length_c 6.602
_cell_angle_alpha 90.00
_cell_angle_beta 90.00
_cell_angle_gamma 90.00
loop_
_atom_site_label
_atom_site_fract_x
_atom_site_fract_y
_atom_site_fract_z
Er1 0.000 0.000 0.000
In1 0.000 0.000 0.500
Ru1 0.250 0.250 0.250
Rh1 0.250 0.250 0.750
# Density (Mg/m³): 11.22
# Energy of formation (meV/atom): -495

***

# YHo4Al5 | the Alexandria database | PBE-GGA | relaxed
data_YHo4Al5
_chemical_formula_sum 'Y1 Ho4 Al5'
_symmetry_space_group_name_H-M 'P 4/m m m'
_symmetry_Int_Tables_number 123
_symmetry_space_group_name_Hall '-P 4 2'
_cell_length_a 3.574
_cell_length_b 3.574
_cell_length_c 18.068
_cell_angle_alpha 90.00
_cell_angle_beta 90.00
_cell_angle_gamma 90.00
loop_
_atom_site_label
_atom_site_fract_x
_atom_site_fract_y
_atom_site_fract_z
Y1 0.000 0.000 0.000
Ho1 0.000 0.000 0.201
Ho2 0.000 0.000 0.400
Al1 0.500 0.500 0.102
Al2 0.500 0.500 0.301
Al3 0.500 0.500 0.500
# Density (Mg/m³): 6.36
# Energy of formation (meV/atom): -398

***

# Er4ZrN4 | the Alexandria database | PBE-GGA | relaxed
data_Er4ZrN4
_chemical_formula_sum 'Er8 Zr2 N8'
_symmetry_space_group_name_H-M 'I -4 2 m'
_symmetry_Int_Tables_number 121
_symmetry_space_group_name_Hall 'I -4 2'
_cell_length_a 5.658
_cell_length_b 5.658
_cell_length_c 10.339
_cell_angle_alpha 90.00
_cell_angle_beta 90.00
_cell_angle_gamma 90.00
loop_
_atom_site_label
_atom_site_fract_x
_atom_site_fract_y
_atom_site_fract_z
Er1 0.000 0.000 0.209
Er2 0.000 0.500 0.000
Zr1 0.000 0.000 0.500
N1 0.226 0.226 0.618
# Density (Mg/m³): 8.19
# Raw formation energy (eV per atom): -0.945

***

# Cs8PAu2 | the Alexandria database | PBE-GGA | relaxed
data_Cs8PAu2
_chemical_formula_sum 'Cs8 P1 Au2'
_symmetry_space_group_name_H-M 'P -1'
_symmetry_Int_Tables_number 2
_cell_length_a 9.383
_cell_length_b 9.392
_cell_length_c 11.042
_cell_angle_alpha 89.84
_cell_angle_beta 89.91
_cell_angle_gamma 60.04
loop_
_symmetry_equiv_pos_as_xyz
'x,y,z'
'-x,-y,-z'
loop_
_atom_site_label
_atom_site_fract_x
_atom_site_fract_y
_atom_site_fract_z
Cs1 0.060 0.166 0.344
Cs2 0.274 0.560 0.344
Cs3 0.333 0.226 0.657
Cs4 0.334 0.832 0.927
P1 0.000 0.500 0.500
Au1 0.334 0.833 0.578
# Density (Mg/m³): 2.93
# Energy of formation (meV/atom): -170

***

# LaCrAg2Sb | the Alexandria database | PBE-GGA | relaxed
data_LaCrAg2Sb
_chemical_formula_sum 'La1 Cr1 Ag2 Sb1'
_symmetry_space_group_name_H-M 'P 4/m m m'
_symmetry_Int_Tables_number 123
_symmetry_space_group_name_Hall '-P 4 2'
_cell_length_a 5.539
_cell_length_b 5.539
_cell_length_c 4.617
_cell_angle_alpha 90.00
_cell_angle_beta 90.00
_cell_angle_gamma 90.00
loop_
_atom_site_label
_atom_site_fract_x
_atom_site_fract_y
_atom_site_fract_z
La1 0.000 0.000 0.000
Cr1 0.000 0.000 0.500
Ag1 0.000 0.500 0.000
Sb1 0.500 0.500 0.500
# Density (Mg/m³): 6.19
# Raw formation energy (eV per atom): 1.417

***

# Ho4TlRu | the Alexandria database | PBE-GGA | relaxed
data_Ho4TlRu
_chemical_formula_sum 'Ho16 Tl4 Ru4'
_symmetry_space_group_name_H-M 'C 1 2/c 1'
_symmetry_Int_Tables_number 15
_cell_length_a 8.707
_cell_length_b 12.892
_cell_length_c 6.157
_cell_angle_alpha 90.00
_cell_angle_beta 106.98
_cell_angle_gamma 90.00
loop_
_symmetry_equiv_pos_as_xyz
'x,y,z'
'-x,-y,-z'
'-x,y,-z+1/2'
'x,-y,z+1/2'
'x+1/2,y+1/2,z'
'-x+1/2,-y+1/2,-z'
'-x+1/2,y+1/2,-z+1/2'
'x+1/2,-y+1/2,z+1/2'
loop_
_atom_site_label
_atom_site_fract_x
_atom_site_fract_y
_atom_site_fract_z
Ho1 0.107 0.168 0.047
Ho2 0.222 0.423 0.395
Tl1 0.000 0.375 0.750
Ru1 0.000 0.000 0.250
# Density (Mg/m³): 9.70
# Energy of formation (meV/atom): -347

***

# AgMoCl3 | the Alexandria database | PBE-GGA | relaxed
data_AgMoCl3
_chemical_formula_sum 'Ag1 Mo1 Cl3'
_symmetry_space_group_name_H-M 'P m -3 m'
_symmetry_Int_Tables_number 221
_symmetry_space_group_name_Hall '-P 4 2 3'
_cell_length_a 5.020
_cell_length_b 5.020
_cell_length_c 5.020
_cell_angle_alpha 90.00
_cell_angle_beta 90.00
_cell_angle_gamma 90.00
loop_
_atom_site_label
_atom_site_fract_x
_atom_site_fract_y
_atom_site_fract_z
Ag1 0.000 0.000 0.000
Mo1 0.500 0.500 0.500
Cl1 0.000 0.500 0.500
# Density (Mg/m³): 4.07
# Raw formation energy (eV per atom): -0.123

***

# Se2SF | the Alexandria database | PBE-GGA | relaxed
data_Se2SF
_chemical_formula_sum 'Se6 S3 F3'
_symmetry_space_group_name_H-M 'R -3 m'
_symmetry_Int_Tables_number 166
_symmetry_space_group_name_Hall '-R 3 2"'
_cell_length_a 3.4766
_cell_length_b 3.4766
_cell_length_c 23.0251
_cell_angle_alpha 90.00
_cell_angle_beta 90.00
_cell_angle_gamma 120.00
loop_
_atom_site_label
_atom_site_fract_x
_atom_site_fract_y
_atom_site_fract_z
Se1 0.0000 0.0000 0.0945
S1 0.0000 0.0000 0.5000
F1 0.0000 0.0000 0.0000
# Density (Mg/m³): 4.32
# Raw formation energy (eV per atom): -0.029